1.
Na2La3TmSe6 | GGA-PBE | relaxed

Lattice parameters (Å, degrees): 7.386 7.386 7.283 99.69 99.69 119.90
Atoms (fractional coordinates):
La 0.500 0.500 0.500
Se 0.599 0.921 0.763
La 0.172 0.828 0.500
Se 0.401 0.079 0.237
La 0.828 0.172 0.500
Se 0.239 0.239 0.756
Na 0.335 0.665 0.000
Se 0.079 0.401 0.237
Tm 0.000 0.000 0.000
Se 0.921 0.599 0.763
Na 0.665 0.335 0.000
Se 0.761 0.761 0.244

VASP energy: -64.11 eV/cell
spin magnetization: 0.00 Bohr magnetons per cell
formation energy from raw total energies: -1.776 eV per atom


2.
TbDyAlTc | GGA-PBE | relaxed

Lattice parameters (Å, degrees): 4.983 4.983 4.983 60.00 60.00 60.00
Atoms (fractional coordinates):
Al 0.250 0.250 0.250
Tc 0.750 0.750 0.750
Tb 0.500 0.500 0.500
Dy 0.000 0.000 0.000

VASP energy: -23.91 eV/cell
ΔE_f: -0.142 eV per atom
spin magnetization: 0.00 Bohr magnetons per cell


3.
LaPr3Th2Se6 | GGA-PBE | relaxed

Lattice parameters (Å, degrees): 7.339 7.339 7.395 99.54 99.54 119.90
Atoms (fractional coordinates):
Se 0.421 0.084 0.250
Pr 0.837 0.163 0.500
Pr 0.163 0.837 0.500
Pr 0.500 0.500 0.500
Se 0.084 0.421 0.250
Se 0.916 0.579 0.750
Th 0.333 0.667 0.000
La 0.000 0.000 0.000
Se 0.579 0.916 0.750
Se 0.744 0.744 0.246
Se 0.256 0.256 0.754
Th 0.667 0.333 0.000

VASP energy: -76.12 eV/cell
spin magnetization: 0.00 Bohr magnetons per cell
formation energy from raw total energies: -1.759 eV per atom


4.
K2ZrTlO | GGA-PBE | relaxed

Lattice parameters (Å, degrees): 6.917 5.591 6.917 90.00 90.00 90.00
Each line ends with the local moment (μB).
Atoms (fractional coordinates):
O 0.500 0.500 0.500  1.01
Zr 0.000 0.000 0.000  1.27
K 0.500 0.000 0.000  0.02
Tl 0.000 0.500 0.000  0.07
K 0.000 0.000 0.500  0.03

VASP energy: -12.75 eV/cell
spin magnetization: 3.77 Bohr magnetons per cell
formation energy from raw total energies: 1.065 eV per atom


5.
LiMg2CoSn | GGA-PBE | relaxed

Lattice parameters (Å, degrees): 4.854 4.854 4.785 90.00 90.00 90.00
Atoms (fractional coordinates):
Mg 0.000 0.500 0.000
Li 0.500 0.500 0.500
Mg 0.500 0.000 0.000
Co 0.000 0.000 0.000
Sn 0.000 0.000 0.500

VASP energy: -16.27 eV/cell
ΔE_f: -0.012 eV per atom
spin magnetization: 0.00 Bohr magnetons per cell


6.
Er5Os2O12 | GGA-PBE | relaxed

Lattice parameters (Å, degrees): 5.628 6.829 7.428 106.00 90.00 114.33
Each line ends with the local moment (μB).
Atoms (fractional coordinates):
Er 0.000 0.000 0.500  0.00
O 0.087 0.665 0.913  0.02
O 0.002 0.003 0.795  0.01
O 0.998 0.997 0.205  0.01
Er 0.312 0.624 0.172  0.02
O 0.099 0.695 0.428  0.00
O 0.421 0.335 0.087  0.02
O 0.913 0.335 0.087  0.02
Er 0.300 0.601 0.641  0.01
O 0.901 0.305 0.572  0.00
O 0.404 0.305 0.572  0.00
O 0.596 0.695 0.428  0.00
Er 0.700 0.399 0.359  0.01
Er 0.688 0.376 0.828  0.02
O 0.501 0.002 0.177  0.01
Os 0.781 0.000 0.000  0.29
O 0.579 0.665 0.913  0.02
O 0.499 0.998 0.823  0.01
Os 0.219 0.000 0.000  0.29

VASP energy: -156.84 eV/cell
spin magnetization: 0.78 Bohr magnetons per cell
formation energy from raw total energies: -2.740 eV per atom


7.
TaSbMo2 | GGA-PBE | relaxed

Lattice parameters (Å, degrees): 5.042 5.042 5.042 131.55 131.55 70.94
Atoms (fractional coordinates):
Mo 0.000 0.000 0.000
Sb 0.250 0.750 0.500
Mo 0.500 0.500 0.000
Ta 0.750 0.250 0.500

VASP energy: -36.80 eV/cell
spin magnetization: 0.00 Bohr magnetons per cell
formation energy from raw total energies: 0.210 eV per atom


8.
In2NiMo | GGA-PBE | relaxed

Lattice parameters (Å, degrees): 5.433 5.433 5.433 147.37 124.80 65.62
Atoms (fractional coordinates):
In 0.976 0.976 0.000
Ni 0.750 0.250 0.500
In 0.524 0.524 0.000
Mo 0.250 0.750 0.500

VASP energy: -20.63 eV/cell
ΔE_f: 0.366 eV per atom
spin magnetization: 0.00 Bohr magnetons per cell


9.
Sr2ReTe | GGA-PBE | relaxed

Lattice parameters (Å, degrees): 3.914 3.914 7.853 90.00 90.00 90.00
Each line ends with the local moment (μB).
Atoms (fractional coordinates):
Te 0.500 0.500 0.250  0.06
Sr 0.000 0.000 0.000  0.00
Re 0.500 0.500 0.750  2.15
Sr 0.000 0.000 0.500  0.00

VASP energy: -17.95 eV/cell
spin magnetization: 2.63 Bohr magnetons per cell
formation energy from raw total energies: 0.251 eV per atom


10.
HgTeCl2 | GGA-PBE | relaxed

Lattice parameters (Å, degrees): 11.042 11.042 11.042 18.10 18.10 18.10
Atoms (fractional coordinates):
Cl 0.076 0.076 0.076
Hg 0.500 0.500 0.500
Cl 0.924 0.924 0.924
Te 0.000 0.000 0.000

VASP energy: -8.02 eV/cell
spin magnetization: 0.00 Bohr magnetons per cell
formation energy from raw total energies: -0.220 eV per atom


11.
Sm6Ag2Hg | GGA-PBE | relaxed

Lattice parameters (Å, degrees): 5.136 7.330 8.903 114.31 106.66 90.00
Each line ends with the local moment (μB).
Atoms (fractional coordinates):
Sm 0.168 0.916 0.336  0.15
Ag 0.333 0.333 0.665  0.03
Sm 0.500 0.746 0.000  0.18
Sm 0.832 0.084 0.664  0.15
Sm 0.832 0.580 0.664  0.15
Ag 0.667 0.667 0.335  0.03
Hg 0.000 0.000 0.000  0.02
Sm 0.168 0.420 0.336  0.15
Sm 0.500 0.254 0.000  0.18

VASP energy: -34.11 eV/cell
ΔE_f: 0.024 eV per atom
spin magnetization: 2.03 Bohr magnetons per cell


12.
Dy6ZnTe4 | GGA-PBE | relaxed

Lattice parameters (Å, degrees): 8.486 8.486 8.486 89.68 89.68 90.32
Atoms (fractional coordinates):
Dy 0.427 0.560 0.812
Dy 0.073 0.312 0.060
Dy 0.312 0.940 0.927
Dy 0.927 0.688 0.940
Dy 0.440 0.812 0.427
Dy 0.688 0.060 0.073
Te 0.750 0.369 0.869
Dy 0.812 0.573 0.560
Te 0.369 0.131 0.250
Te 0.869 0.250 0.369
Zn 0.000 0.000 0.000
Dy 0.560 0.188 0.573
Te 0.750 0.750 0.250
Dy 0.060 0.927 0.312
Te 0.131 0.750 0.631
Dy 0.573 0.440 0.188
Zn 0.500 0.500 0.500
Dy 0.188 0.427 0.440
Te 0.250 0.631 0.131
Dy 0.940 0.073 0.688
Te 0.250 0.250 0.750
Te 0.631 0.869 0.750

VASP energy: -101.48 eV/cell
spin magnetization: 0.00 Bohr magnetons per cell
formation energy from raw total energies: -0.844 eV per atom


13.
Be2TlCl | GGA-PBE | relaxed

Lattice parameters (Å, degrees): 3.092 5.715 4.183 90.00 90.00 90.00
Atoms (fractional coordinates):
Tl 0.000 0.500 0.500
Be 0.000 0.000 0.000
Be 0.500 0.500 0.000
Cl 0.500 0.000 0.500

VASP energy: -8.85 eV/cell
spin magnetization: 0.00 Bohr magnetons per cell
formation energy from raw total energies: 0.703 eV per atom